Crystalline Ac6AgOs2I3 at its relaxed geometry. Source: the Alexandria database, functional PBE.

Computed properties:
E_form (uncorrected): -679.8 meV per atom
final energy: -125.54 eV per cell

Lattice parameters (Å, degrees): 7.7219 13.3745 9.0450 90.00 106.52 90.00
Space group C2/m (No. 12)
Asymmetric unit:
Ac (0.2021, 0.0000, 0.1874) (multiplicity 4)
Ac (0.2429, 0.3198, 0.1879) (multiplicity 8)
Ag (0.0000, 0.5000, 0.0000) (multiplicity 2)
Os (0.0000, 0.1667, 0.0000) (multiplicity 4)
I (0.0000, 0.0000, 0.5000) (multiplicity 2)
I (0.0000, 0.3347, 0.5000) (multiplicity 4)



Crystalline Ac4AgPI2 at its relaxed geometry. Source: the Alexandria database, functional PBE.

Computed properties:
E_form (uncorrected): -922.5 meV per atom
final energy: -35.18 eV per cell

Lattice parameters (Å, degrees): 8.0415 4.4413 8.5647 90.00 106.96 90.00
Space group P2/m (No. 10)
Asymmetric unit:
Ac (0.2187, 0.0000, 0.2013) (multiplicity 2)
Ac (0.2587, 0.5000, 0.7960) (multiplicity 2)
Ag (0.5000, 0.0000, 0.0000) (multiplicity 1)
P (0.0000, 0.5000, 0.0000) (multiplicity 1)
I (0.0000, 0.0000, 0.5000) (multiplicity 1)
I (0.5000, 0.5000, 0.5000) (multiplicity 1)



Crystalline Ac8AgPt3I4 at its relaxed geometry. Source: the Alexandria database, functional PBE.

Computed properties:
E_form (uncorrected): -1062.4 meV per atom
final energy: -154.08 eV per cell

Lattice parameters (Å, degrees): 15.6886 9.0565 10.0896 90.00 121.28 90.00
Space group C2/m (No. 12)
Asymmetric unit:
Ac (0.0243, 0.2403, 0.3133) (multiplicity 8)
Ac (0.2291, 0.0000, 0.6869) (multiplicity 4)
Ac (0.2354, 0.5000, 0.6867) (multiplicity 4)
Ag (0.0000, 0.5000, 0.5000) (multiplicity 2)
Pt (0.0000, 0.0000, 0.5000) (multiplicity 2)
Pt (0.2500, 0.2500, 0.5000) (multiplicity 4)
I (0.0000, 0.0000, 0.0000) (multiplicity 2)
I (0.0000, 0.5000, 0.0000) (multiplicity 2)
I (0.2500, 0.2500, 0.0000) (multiplicity 4)



Crystalline Ac4AgPtI2 at its relaxed geometry. Source: the Alexandria database, functional PBE.

Computed properties:
E_form (uncorrected): -889.7 meV per atom
final energy: -35.54 eV per cell

Lattice parameters (Å, degrees): 7.8992 4.5722 8.9584 90.00 107.34 90.00
Space group P2/m (No. 10)
Asymmetric unit:
Ac (0.2205, 0.0000, 0.1911) (multiplicity 2)
Ac (0.2503, 0.5000, 0.8058) (multiplicity 2)
Ag (0.5000, 0.0000, 0.0000) (multiplicity 1)
Pt (0.0000, 0.5000, 0.0000) (multiplicity 1)
I (0.0000, 0.0000, 0.5000) (multiplicity 1)
I (0.5000, 0.5000, 0.5000) (multiplicity 1)



Crystalline Rb2AcAgI6 at its relaxed geometry. Source: the Alexandria database, functional PBE.

Computed properties:
E_form (uncorrected): -1251.8 meV per atom
final energy: -61.43 eV per cell

Lattice parameters (Å, degrees): 8.5426 9.0067 14.7010 90.00 125.21 90.00
Space group P2_1/c (No. 14)
Asymmetric unit:
Rb (0.2216, 0.0797, 0.2477) (multiplicity 4)
Ac (0.5000, 0.0000, 0.0000) (multiplicity 2)
Ag (0.0000, 0.0000, 0.5000) (multiplicity 2)
I (0.1393, 0.2012, 0.9485) (multiplicity 4)
I (0.2542, 0.6957, 0.9524) (multiplicity 4)
I (0.3365, 0.0216, 0.7370) (multiplicity 4)



Crystalline Ac6AgRh2I3 at its relaxed geometry. Source: the Alexandria database, functional PBE.

Computed properties:
E_form (uncorrected): -894.6 meV per atom
final energy: -115.18 eV per cell

Lattice parameters (Å, degrees): 7.7379 13.4017 9.0478 90.00 106.56 90.00
Space group C2/m (No. 12)
Asymmetric unit:
Ac (0.2084, 0.0000, 0.1878) (multiplicity 4)
Ac (0.2400, 0.3228, 0.1884) (multiplicity 8)
Ag (0.0000, 0.5000, 0.0000) (multiplicity 2)
Rh (0.0000, 0.1668, 0.0000) (multiplicity 4)
I (0.0000, 0.0000, 0.5000) (multiplicity 2)
I (0.0000, 0.3349, 0.5000) (multiplicity 4)



Crystalline Ac8AgRh3I4 at its relaxed geometry. Source: the Alexandria database, functional PBE.

Computed properties:
E_form (uncorrected): -923.3 meV per atom
final energy: -157.49 eV per cell

Lattice parameters (Å, degrees): 15.3921 8.8940 10.0709 90.00 120.61 90.00
Space group C2/m (No. 12)
Asymmetric unit:
Ac (0.0254, 0.2378, 0.3134) (multiplicity 8)
Ac (0.2285, 0.0000, 0.6866) (multiplicity 4)
Ac (0.2367, 0.5000, 0.6861) (multiplicity 4)
Ag (0.0000, 0.5000, 0.5000) (multiplicity 2)
Rh (0.0000, 0.0000, 0.5000) (multiplicity 2)
Rh (0.2500, 0.2500, 0.5000) (multiplicity 4)
I (0.0000, 0.0000, 0.0000) (multiplicity 2)
I (0.0000, 0.5000, 0.0000) (multiplicity 2)
I (0.2500, 0.2500, 0.0000) (multiplicity 4)



Crystalline Ac6AgRu2I3 at its relaxed geometry. Source: the Alexandria database, functional PBE.

Computed properties:
E_form (uncorrected): -740.7 meV per atom
final energy: -119.18 eV per cell

Lattice parameters (Å, degrees): 7.6798 13.2979 9.0724 90.00 106.37 90.00
Space group C2/m (No. 12)
Asymmetric unit:
Ac (0.2031, 0.0000, 0.1874) (multiplicity 4)
Ac (0.2424, 0.3204, 0.1880) (multiplicity 8)
Ag (0.0000, 0.5000, 0.0000) (multiplicity 2)
Ru (0.0000, 0.1667, 0.0000) (multiplicity 4)
I (0.0000, 0.0000, 0.5000) (multiplicity 2)
I (0.0000, 0.3346, 0.5000) (multiplicity 4)